[1]
La2GdSc: optimized geometry, PBE.

abc: 5.7038 5.7038 5.7038
angles: 60.00 60.00 60.00
Last column: magnetic moment on the atom in μB.
Element x y z (fractional)
Sc (0.0000, 0.0000, 0.0000)  -0.01
Gd (0.5000, 0.5000, 0.5000)  7.21
La (0.2500, 0.2500, 0.2500)  0.04
La (0.7500, 0.7500, 0.7500)  0.04

Calculated values
The calculation puts the calculated volume at 131.2 Å³ per cell. As for the space group: No. 225. Its spin magnetization is 7.590 μB per cell. The calculation puts the energy above the lowest structure with this stoichiometry at 56 meV/atom. Its formation energy is 0.4 eV/f.u.

=====

[2]
LaGd2Sc: optimized geometry, PBE.

abc: 5.6330 5.6330 5.6330
angles: 60.00 60.00 60.00
Last column: magnetic moment on the atom in μB.
Element x y z (fractional)
Sc (0.5000, 0.5000, 0.5000)  0.24
Gd (0.2500, 0.2500, 0.2500)  7.38
Gd (0.7500, 0.7500, 0.7500)  7.38
La (0.0000, 0.0000, 0.0000)  0.26

Calculated values
The calculation puts the calculated volume at 126.4 Å³ per cell. As for the space group: No. 225. Its spin magnetization is 16.456 μB per cell. The calculation puts the energy above the lowest structure with this stoichiometry at 73 meV/atom. Its formation energy is 0.5 eV/f.u.

=====

[3]
LaGdSc: optimized geometry, PBE.

abc: 3.5915 3.5915 7.6907
angles: 103.50 103.50 90.00
Last column: magnetic moment on the atom in μB.
Element x y z (fractional)
Sc (0.6651, 0.6651, 0.3303)  -0.06
Gd (0.0079, 0.0079, 0.0159)  7.24
La (0.3269, 0.3269, 0.6538)  -0.05

Calculated values
The calculation puts the calculated volume at 93.6 Å³ per cell. As for the space group: No. 107. Its spin magnetization is 7.357 μB per cell. The calculation puts the energy above the lowest structure with this stoichiometry at 0 meV/atom. Its formation energy is 0.2 eV/f.u.

=====

[4]
La2GdSc: optimized geometry, PBE.

abc: 4.9385 5.1217 5.1217
angles: 90.00 90.00 90.00
Last column: magnetic moment on the atom in μB.
Element x y z (fractional)
Sc (0.5000, 0.5000, 0.5000)  0.02
Gd (0.5000, 0.0000, 0.0000)  -7.17
La (0.0000, 0.0000, 0.5000)  0.00
La (0.0000, 0.5000, 0.0000)  0.00

Calculated values
The calculation puts the calculated volume at 129.5 Å³ per cell. As for the space group: No. 123. Its spin magnetization is 7.412 μB per cell. The calculation puts the energy above the lowest structure with this stoichiometry at 9 meV/atom. Its formation energy is 0.2 eV/f.u.

=====

[5]
La2GdSc: optimized geometry, PBE.

abc: 3.6786 3.6786 9.6521
angles: 90.00 90.00 90.00
Last column: magnetic moment on the atom in μB.
Element x y z (fractional)
Sc (0.5000, 0.5000, 0.0000)  -0.15
Gd (0.5000, 0.5000, 0.5000)  7.26
La (0.0000, 0.0000, 0.7645)  -0.01
La (0.0000, 0.0000, 0.2355)  -0.01

Calculated values
The calculation puts the calculated volume at 130.6 Å³ per cell. As for the space group: No. 123. Its spin magnetization is 7.308 μB per cell. The calculation puts the energy above the lowest structure with this stoichiometry at 0 meV/atom. Its formation energy is 0.1 eV/f.u.

=====

[6]
LaGd2Sc: optimized geometry, PBE.

abc: 5.0334 4.9917 4.9917
angles: 90.00 90.00 90.00
Last column: magnetic moment on the atom in μB.
Element x y z (fractional)
Sc (0.5000, 0.0000, 0.0000)  -0.01
Gd (0.0000, 0.0000, 0.5000)  7.17
Gd (0.0000, 0.5000, 0.0000)  7.17
La (0.5000, 0.5000, 0.5000)  -0.01

Calculated values
The calculation puts the calculated volume at 125.4 Å³ per cell. As for the space group: No. 123. Its spin magnetization is 14.845 μB per cell. The calculation puts the energy above the lowest structure with this stoichiometry at 0 meV/atom. Its formation energy is 0.2 eV/f.u.

=====

[7]
LaGd2Sc: optimized geometry, PBE.

abc: 3.4515 3.4515 12.3809
angles: 81.99 81.99 60.00
Last column: magnetic moment on the atom in μB.
Element x y z (fractional)
Sc (0.5000, 0.5000, 0.5000)  -0.12
Gd (0.0927, 0.0927, 0.7218)  7.18
Gd (0.9073, 0.9073, 0.2782)  7.18
La (0.0000, 0.0000, 0.0000)  0.06

Calculated values
The calculation puts the calculated volume at 126.1 Å³ per cell. As for the space group: No. 166. Its spin magnetization is 14.736 μB per cell. The calculation puts the energy above the lowest structure with this stoichiometry at 95 meV/atom. Its formation energy is 0.6 eV/f.u.

=====

[8]
LaGdSc: optimized geometry, PBE.

abc: 3.4321 5.5934 5.5934
angles: 120.00 90.00 90.00
Last column: magnetic moment on the atom in μB.
Element x y z (fractional)
Sc (0.1679, 0.6667, 0.3333)  0.06
Gd (0.1656, 0.0000, 0.0000)  7.28
La (0.6665, 0.3333, 0.6667)  0.01

Calculated values
The calculation puts the calculated volume at 93.0 Å³ per cell. As for the space group: No. 156. Its spin magnetization is 7.699 μB per cell. The calculation puts the energy above the lowest structure with this stoichiometry at 15 meV/atom. Its formation energy is 0.2 eV/f.u.

=====

[9]
LaGdThSc: optimized geometry, PBE.

abc: 5.6170 5.6170 5.6170
angles: 60.00 60.00 60.00
Last column: magnetic moment on the atom in μB.
Element x y z (fractional)
Sc (0.0000, 0.0000, 0.0000)  0.12
Gd (0.5000, 0.5000, 0.5000)  -7.16
Th (0.2500, 0.2500, 0.2500)  0.02
La (0.7500, 0.7500, 0.7500)  -0.01

Calculated values
The calculation puts the calculated volume at 125.3 Å³ per cell. As for the space group: No. 216. Its spin magnetization is 7.097 μB per cell. Its formation energy is 0.5 eV/f.u.

=====

[10]
LaGdScTl: optimized geometry, PBE.

abc: 5.4926 5.4926 5.4926
angles: 60.00 60.00 60.00
Last column: magnetic moment on the atom in μB.
Element x y z (fractional)
Sc (0.0000, 0.0000, 0.0000)  0.39
Tl (0.5000, 0.5000, 0.5000)  -0.02
Gd (0.2500, 0.2500, 0.2500)  7.31
La (0.7500, 0.7500, 0.7500)  0.12

Calculated values
The calculation puts the calculated volume at 117.2 Å³ per cell. As for the space group: No. 216. Its spin magnetization is 8.430 μB per cell. Its formation energy is -0.4 eV/f.u.

=====

[11]
La2GdSe: optimized geometry, PBE.

abc: 3.9873 3.9873 10.0471
angles: 78.55 78.55 60.00
Last column: magnetic moment on the atom in μB.
Element x y z (fractional)
Gd (0.5000, 0.5000, 0.5000)  -7.42
Se (0.0000, 0.0000, 0.0000)  -0.01
La (0.2660, 0.2660, 0.2020)  -0.04
La (0.7340, 0.7340, 0.7980)  -0.04

Calculated values
The calculation puts the calculated volume at 134.7 Å³ per cell. As for the space group: No. 166. As for the uncorrected formation energy: -0.8231 eV/atom. Its spin magnetization is 8.268 μB per cell.

=====

[12]
La2GdSi: optimized geometry, PBE.

abc: 4.0041 4.0041 10.8840
angles: 79.40 79.40 60.00
Last column: magnetic moment on the atom in μB.
Element x y z (fractional)
Si (0.5000, 0.5000, 0.5000)  0.01
Gd (0.0000, 0.0000, 0.0000)  7.26
La (0.1110, 0.1110, 0.6669)  0.07
La (0.8890, 0.8890, 0.3331)  0.07

Calculated values
The calculation puts the calculated volume at 147.7 Å³ per cell. As for the space group: No. 166. As for the uncorrected formation energy: 0.0157 eV/atom. Its spin magnetization is 8.274 μB per cell. The calculation puts the energy above the lowest structure with this stoichiometry at 297 meV/atom.

=====

[13]
La2GdSi: optimized geometry, PBE.

abc: 4.8312 4.7824 4.7824
angles: 90.00 90.00 90.00
Last column: magnetic moment on the atom in μB.
Element x y z (fractional)
Si (0.5000, 0.5000, 0.5000)  -0.02
Gd (0.5000, 0.0000, 0.0000)  7.20
La (0.0000, 0.0000, 0.5000)  0.06
La (0.0000, 0.5000, 0.0000)  0.06

Calculated values
The calculation puts the calculated volume at 110.5 Å³ per cell. As for the space group: No. 123. As for the uncorrected formation energy: -0.2818 eV/atom. Its spin magnetization is 7.625 μB per cell. The calculation puts the energy above the lowest structure with this stoichiometry at 0 meV/atom.

=====

[14]
LaGdSi: optimized geometry, PBE.

abc: 5.0044 5.0044 5.0044
angles: 60.00 60.00 60.00
Last column: magnetic moment on the atom in μB.
Element x y z (fractional)
Si (0.2500, 0.2500, 0.2500)  -0.04
Gd (0.0000, 0.0000, 0.0000)  7.22
La (0.5000, 0.5000, 0.5000)  0.13

Calculated values
The calculation puts the calculated volume at 88.6 Å³ per cell. As for the space group: No. 216. As for the uncorrected formation energy: -0.4648 eV/atom. Its spin magnetization is 7.735 μB per cell.

=====

[15]
LaGdZnSi: optimized geometry, PBE.

abc: 5.1483 5.1483 5.1483
angles: 60.00 60.00 60.00
Last column: magnetic moment on the atom in μB.
Element x y z (fractional)
Zn (0.0000, 0.0000, 0.0000)  0.00
Gd (0.2500, 0.2500, 0.2500)  -7.02
Si (0.5000, 0.5000, 0.5000)  0.04
La (0.7500, 0.7500, 0.7500)  -0.02

Calculated values
The calculation puts the calculated volume at 96.5 Å³ per cell. As for the space group: No. 216. As for the uncorrected formation energy: -0.4555 eV/atom. Its spin magnetization is 7.110 μB per cell.

=====

[16]
LaSmGd4: optimized geometry, PBE.

abc: 6.6622 6.6622 6.6622
angles: 60.00 60.00 60.00
Last column: magnetic moment on the atom in μB.
Element x y z (fractional)
Gd (0.6254, 0.6254, 0.1238)  7.22
Gd (0.6254, 0.1238, 0.6254)  7.22
Gd (0.6254, 0.6254, 0.6254)  7.22
Gd (0.1238, 0.6254, 0.6254)  7.22
Sm (0.0000, 0.0000, 0.0000)  -0.03
La (0.2500, 0.2500, 0.2500)  0.04

Calculated values
The calculation puts the calculated volume at 209.1 Å³ per cell. As for the space group: No. 216. Its spin magnetization is 30.012 μB per cell. Its formation energy is 1.5 eV/f.u.